BaTePbN2 | PBE | optimized geometry

abc: 4.7896 4.7896 7.0674
angles: 90.00 90.00 90.00
With the nearest neighbours (Å) after each atom.
Sites, in units of the cell vectors:
Te 0.0000 0.0000 0.5000  4 Pb 3.39, 2 Ba 3.53
N 0.5000 0.0000 0.0000  2 Ba 2.39
N 0.0000 0.5000 0.0000  2 Ba 2.39
Ba 0.0000 0.0000 0.0000  4 N 2.39
Pb 0.5000 0.5000 0.5000  4 Te 3.39

Properties
Energy relative to the elements, uncorrected (eV/atom): 1.220
Space group: P4/mmm (123)
DOS(E_F) (states/eV per cell): 2.9